--- a ---
Here is a geometry-optimized CsSbAu3 structure from Alexandria. Energies are from PBE.

abc: 6.961 7.110 7.220
angles: 102.87 100.73 118.37
Sites, in units of the cell vectors:
Cs: 0.000 0.000 0.000
Cs: 0.499 0.499 0.501
Sb: 0.183 0.828 0.493
Sb: 0.684 0.329 0.993
Au: 0.386 0.866 0.873
Au: 0.460 0.551 0.995
Au: 0.488 0.926 0.288
Au: 0.885 0.365 0.373
Au: 0.958 0.049 0.494
Au: 0.990 0.427 0.789

Calculated values
Fermi-level density of states: 1.66 states/eV per cell
Space-group type: No. 1


--- b ---
Here is a geometry-optimized CsSbAu3 structure from Alexandria. Energies are from PBE.

abc: 8.549 7.959 9.872
angles: 90.00 104.17 90.00
Sites, in units of the cell vectors:
Cs: 0.245 0.173 0.479
Cs: 0.245 0.327 0.979
Cs: 0.755 0.673 0.021
Cs: 0.755 0.827 0.521
Sb: 0.315 0.684 0.619
Sb: 0.315 0.816 0.119
Sb: 0.685 0.184 0.881
Sb: 0.685 0.316 0.381
Au: 0.049 0.517 0.653
Au: 0.049 0.983 0.153
Au: 0.188 0.705 0.337
Au: 0.188 0.795 0.837
Au: 0.473 0.558 0.286
Au: 0.473 0.942 0.786
Au: 0.527 0.058 0.214
Au: 0.527 0.442 0.714
Au: 0.812 0.205 0.163
Au: 0.812 0.295 0.663
Au: 0.951 0.017 0.847
Au: 0.951 0.483 0.347

Calculated values
Fermi-level density of states: 6.04 states/eV per cell
Space-group type: No. 14


--- c ---
Here is a geometry-optimized CsSbAu3 structure from Alexandria. Energies are from PBE.

abc: 5.928 7.077 9.093
angles: 93.06 108.63 112.67
Sites, in units of the cell vectors:
Cs: 0.000 0.000 0.000
Cs: 0.222 0.897 0.543
Sb: 0.624 0.370 0.903
Sb: 0.847 0.305 0.381
Au: 0.061 0.527 0.178
Au: 0.203 0.404 0.680
Au: 0.382 0.570 0.008
Au: 0.528 0.503 0.332
Au: 0.550 0.896 0.265
Au: 0.711 0.430 0.638

Calculated values
Fermi-level density of states: 0.00 states/eV per cell
Space-group type: No. 1


--- d ---
Here is a geometry-optimized CsSbAu3 structure from Alexandria. Energies are from PBE.

abc: 4.970 7.368 9.811
angles: 90.00 92.21 90.00
Sites, in units of the cell vectors:
Cs: 0.041 0.250 0.329
Cs: 0.959 0.750 0.671
Sb: 0.270 0.750 0.128
Sb: 0.730 0.250 0.872
Au: 0.247 0.063 0.967
Au: 0.247 0.437 0.967
Au: 0.427 0.750 0.398
Au: 0.573 0.250 0.602
Au: 0.753 0.563 0.033
Au: 0.753 0.937 0.033

Calculated values
Fermi-level density of states: 3.70 states/eV per cell
Space-group type: No. 11


Quick one: most stable of them? c


--- a ---
Here is a geometry-optimized CsSbAu3 structure from Alexandria. Energies are from PBE.

abc: 6.644 7.383 7.623
angles: 107.13 103.08 114.70
Sites, in units of the cell vectors:
Cs: 0.000 0.000 0.000
Cs: 0.289 0.605 0.004
Sb: 0.657 0.243 0.351
Sb: 0.965 0.697 0.345
Au: 0.152 0.462 0.492
Au: 0.428 0.290 0.630
Au: 0.469 0.929 0.632
Au: 0.614 0.623 0.493
Au: 0.633 0.290 0.991
Au: 0.890 0.047 0.502

Calculated values
Fermi-level density of states: 2.92 states/eV per cell
Space-group type: No. 1


--- b ---
Here is a geometry-optimized CsSbAu3 structure from Alexandria. Energies are from PBE.

abc: 7.206 7.206 7.206
angles: 78.13 78.13 78.13
Sites, in units of the cell vectors:
Cs: 0.000 0.000 0.000
Cs: 0.500 0.500 0.500
Sb: 0.250 0.250 0.250
Sb: 0.750 0.750 0.750
Au: 0.037 0.750 0.463
Au: 0.250 0.537 0.963
Au: 0.463 0.037 0.750
Au: 0.537 0.963 0.250
Au: 0.750 0.463 0.037
Au: 0.963 0.250 0.537

Calculated values
Fermi-level density of states: 7.26 states/eV per cell
Space-group type: No. 167


Quick one: most stable of them? a


--- a ---
Here is a geometry-optimized CsSbAu3 structure from Alexandria. Energies are from PBE.

abc: 5.366 5.366 5.366
angles: 84.66 84.66 84.66
Sites, in units of the cell vectors:
Cs: 0.000 0.000 0.000
Sb: 0.600 0.600 0.600
Au: 0.091 0.482 0.482
Au: 0.482 0.091 0.482
Au: 0.482 0.482 0.091

Calculated values
Fermi-level density of states: 3.28 states/eV per cell
Space-group type: No. 160


--- b ---
Here is a geometry-optimized CsSbAu3 structure from Alexandria. Energies are from PBE.

abc: 3.896 6.212 6.212
angles: 71.70 90.00 90.00
Sites, in units of the cell vectors:
Cs: 0.000 0.000 0.000
Sb: 0.500 0.367 0.367
Au: 0.000 0.562 0.562
Au: 0.500 0.533 0.913
Au: 0.500 0.913 0.533

Calculated values
Fermi-level density of states: 1.83 states/eV per cell
Space-group type: No. 38


--- c ---
Here is a geometry-optimized CsSbAu3 structure from Alexandria. Energies are from PBE.

abc: 9.581 9.581 9.581
angles: 140.35 140.35 57.32
Sites, in units of the cell vectors:
Cs: 0.126 0.126 0.000
Cs: 0.874 0.874 0.000
Sb: 0.500 0.500 0.000
Sb: 0.750 0.250 0.500
Au: 0.145 0.362 0.784
Au: 0.510 0.010 0.500
Au: 0.578 0.362 0.216
Au: 0.638 0.422 0.784
Au: 0.638 0.855 0.216
Au: 0.990 0.490 0.500

Calculated values
Fermi-level density of states: 6.23 states/eV per cell
Space-group type: No. 119


--- d ---
Here is a geometry-optimized CsSbAu3 structure from Alexandria. Energies are from PBE.

abc: 5.570 5.871 9.948
angles: 90.00 90.00 90.00
Sites, in units of the cell vectors:
Cs: 0.250 0.000 0.181
Cs: 0.750 0.000 0.819
Sb: 0.250 0.500 0.688
Sb: 0.750 0.500 0.312
Au: 0.000 0.236 0.500
Au: 0.000 0.764 0.500
Au: 0.250 0.500 0.965
Au: 0.500 0.236 0.500
Au: 0.500 0.764 0.500
Au: 0.750 0.500 0.035

Calculated values
Fermi-level density of states: 5.43 states/eV per cell
Space-group type: No. 51


Quick one: most stable of them? b


--- a ---
Here is a geometry-optimized CsSbAu3 structure from Alexandria. Energies are from PBE.

abc: 7.084 12.134 6.515
angles: 90.00 90.00 90.00
Sites, in units of the cell vectors:
Cs: 0.000 0.000 0.000
Cs: 0.000 0.500 0.000
Cs: 0.500 0.000 0.500
Cs: 0.500 0.500 0.500
Sb: 0.246 0.250 0.234
Sb: 0.254 0.750 0.734
Sb: 0.746 0.250 0.266
Sb: 0.754 0.750 0.766
Au: 0.012 0.116 0.501
Au: 0.012 0.384 0.501
Au: 0.228 0.250 0.782
Au: 0.272 0.750 0.282
Au: 0.488 0.616 0.001
Au: 0.488 0.884 0.001
Au: 0.512 0.116 0.999
Au: 0.512 0.384 0.999
Au: 0.728 0.250 0.718
Au: 0.772 0.750 0.218
Au: 0.988 0.616 0.499
Au: 0.988 0.884 0.499

Calculated values
Fermi-level density of states: 12.32 states/eV per cell
Space-group type: No. 62


--- b ---
Here is a geometry-optimized CsSbAu3 structure from Alexandria. Energies are from PBE.

abc: 5.855 5.855 5.855
angles: 90.00 90.00 90.00
Sites, in units of the cell vectors:
Cs: 0.000 0.000 0.000
Sb: 0.500 0.500 0.500
Au: 0.000 0.000 0.500
Au: 0.000 0.500 0.000
Au: 0.500 0.000 0.000

Calculated values
Fermi-level density of states: 1.85 states/eV per cell
Space-group type: No. 221


Quick one: most stable of them? a


--- a ---
Here is a geometry-optimized Cs3Sb4Au2 structure from Alexandria. Energies are from PBE.

abc: 5.155 7.577 10.788
angles: 89.07 76.74 70.20
Sites, in units of the cell vectors:
Cs: 0.000 0.000 0.000
Cs: 0.213 0.228 0.360
Cs: 0.787 0.772 0.640
Sb: 0.303 0.401 0.993
Sb: 0.463 0.344 0.717
Sb: 0.537 0.656 0.283
Sb: 0.697 0.599 0.007
Au: 0.025 0.231 0.705
Au: 0.975 0.769 0.295

Calculated values
Fermi-level density of states: 0.95 states/eV per cell
Space-group type: No. 2


--- b ---
Here is a geometry-optimized Cs3Sb4Au2 structure from Alexandria. Energies are from PBE.

abc: 7.547 7.547 10.960
angles: 99.74 99.74 35.81
Sites, in units of the cell vectors:
Cs: 0.000 0.000 0.000
Cs: 0.375 0.375 0.610
Cs: 0.625 0.625 0.390
Sb: 0.100 0.100 0.672
Sb: 0.264 0.264 0.913
Sb: 0.736 0.736 0.087
Sb: 0.900 0.900 0.328
Au: 0.340 0.340 0.204
Au: 0.660 0.660 0.796

Calculated values
Fermi-level density of states: 2.95 states/eV per cell
Space-group type: No. 12


Quick one: most stable of them? a


--- a ---
Here is a geometry-optimized Cs2Sb3Au5 structure from Alexandria. Energies are from PBE.

abc: 9.611 9.611 9.611
angles: 106.89 89.50 135.90
Sites, in units of the cell vectors:
Cs: 0.132 0.235 0.367
Cs: 0.368 0.735 0.103
Cs: 0.632 0.265 0.897
Cs: 0.868 0.765 0.633
Sb: 0.131 0.889 0.020
Sb: 0.250 0.750 0.500
Sb: 0.369 0.389 0.758
Sb: 0.631 0.611 0.242
Sb: 0.750 0.250 0.500
Sb: 0.869 0.111 0.980
Au: 0.016 0.750 0.266
Au: 0.108 0.645 0.752
Au: 0.250 0.250 0.000
Au: 0.392 0.145 0.537
Au: 0.484 0.750 0.734
Au: 0.516 0.250 0.266
Au: 0.608 0.855 0.463
Au: 0.750 0.750 0.000
Au: 0.892 0.355 0.248
Au: 0.984 0.250 0.734

Calculated values
Fermi-level density of states: 8.54 states/eV per cell
Space-group type: No. 72


--- b ---
Here is a geometry-optimized Cs2Sb3Au5 structure from Alexandria. Energies are from PBE.

abc: 7.457 7.582 11.389
angles: 74.55 81.58 75.01
Sites, in units of the cell vectors:
Cs: 0.066 0.038 0.168
Cs: 0.395 0.515 0.341
Cs: 0.605 0.485 0.659
Cs: 0.934 0.962 0.832
Sb: 0.121 0.448 0.816
Sb: 0.250 0.000 0.496
Sb: 0.486 0.745 0.925
Sb: 0.514 0.255 0.075
Sb: 0.750 0.000 0.504
Sb: 0.879 0.552 0.184
Au: 0.059 0.704 0.585
Au: 0.143 0.304 0.613
Au: 0.206 0.583 0.054
Au: 0.387 0.136 0.902
Au: 0.456 0.989 0.689
Au: 0.544 0.011 0.311
Au: 0.613 0.864 0.098
Au: 0.794 0.417 0.946
Au: 0.857 0.696 0.387
Au: 0.941 0.296 0.415

Calculated values
Fermi-level density of states: 5.89 states/eV per cell
Space-group type: No. 2


Quick one: most stable of them? b


--- a ---
Here is a geometry-optimized CsSb3Au structure from Alexandria. Energies are from PBE.

abc: 8.611 8.611 8.611
angles: 59.80 59.80 59.80
Sites, in units of the cell vectors:
Cs: 0.202 0.202 0.202
Cs: 0.798 0.798 0.798
Sb: 0.195 0.195 0.736
Sb: 0.195 0.736 0.195
Sb: 0.264 0.805 0.805
Sb: 0.736 0.195 0.195
Sb: 0.805 0.264 0.805
Sb: 0.805 0.805 0.264
Au: 0.364 0.364 0.364
Au: 0.636 0.636 0.636

Calculated values
Fermi-level density of states: 6.06 states/eV per cell
Space-group type: No. 166


--- b ---
Here is a geometry-optimized CsSb3Au structure from Alexandria. Energies are from PBE.

abc: 7.395 7.395 7.395
angles: 137.29 137.29 61.99
Sites, in units of the cell vectors:
Cs: 0.000 0.000 0.000
Sb: 0.261 0.761 0.500
Sb: 0.652 0.652 0.000
Sb: 0.761 0.261 0.500
Au: 0.312 0.312 0.000

Calculated values
Fermi-level density of states: 1.46 states/eV per cell
Space-group type: No. 107


--- c ---
Here is a geometry-optimized CsSb3Au structure from Alexandria. Energies are from PBE.

abc: 5.621 5.621 5.621
angles: 90.00 90.00 90.00
Sites, in units of the cell vectors:
Cs: 0.000 0.000 0.000
Sb: 0.000 0.500 0.500
Sb: 0.500 0.000 0.500
Sb: 0.500 0.500 0.000
Au: 0.500 0.500 0.500

Calculated values
Fermi-level density of states: 4.56 states/eV per cell
Space-group type: No. 221


--- d ---
Here is a geometry-optimized CsSb3Au structure from Alexandria. Energies are from PBE.

abc: 6.168 6.168 6.168
angles: 90.00 90.00 90.00
Sites, in units of the cell vectors:
Cs: 0.000 0.000 0.000
Sb: 0.000 0.000 0.500
Sb: 0.000 0.500 0.000
Sb: 0.500 0.000 0.000
Au: 0.500 0.500 0.500

Calculated values
Fermi-level density of states: 10.78 states/eV per cell
Space-group type: No. 221


Quick one: most stable of them? b


--- a ---
Here is a geometry-optimized CsSbTe2Au structure from Alexandria. Energies are from PBE.

abc: 5.805 5.805 5.356
angles: 90.00 90.00 90.00
Sites, in units of the cell vectors:
Cs: 0.000 0.000 0.000
Sb: 0.500 0.500 0.000
Te: 0.000 0.500 0.500
Te: 0.500 0.000 0.500
Au: 0.500 0.500 0.500

Calculated values
Fermi-level density of states: 3.40 states/eV per cell
Space-group type: No. 123


--- b ---
Here is a geometry-optimized CsSbTe2Au structure from Alexandria. Energies are from PBE.

abc: 9.695 9.695 5.721
angles: 90.00 90.00 128.79
Sites, in units of the cell vectors:
Cs: 0.250 0.750 0.792
Cs: 0.750 0.250 0.208
Sb: 0.250 0.250 0.500
Sb: 0.750 0.750 0.500
Te: 0.113 0.887 0.303
Te: 0.387 0.613 0.303
Te: 0.613 0.387 0.697
Te: 0.887 0.113 0.697
Au: 0.000 0.000 0.000
Au: 0.500 0.500 0.000

Calculated values
Fermi-level density of states: 6.21 states/eV per cell
Space-group type: No. 67


Quick one: most stable of them? b